A relaxed structure of SmEr2Ag. Source: Alexandria, functional PBE-GGA.

a = 6.3832 Å, b = 6.3832 Å, c = 7.8839 Å
α = 90.00°, β = 90.00°, γ = 134.09°
With the nearest neighbours (Å) after each atom.
Atoms (fractional coordinates):
Sm 0.0529 0.9471 0.7500  1 Ag 3.06
Sm 0.9471 0.0529 0.2500  1 Ag 3.06
Er 0.3559 0.6441 0.5375  3 Ag 2.86-3.09
Er 0.3559 0.6441 0.9625  3 Ag 2.86-3.09
Er 0.6441 0.3559 0.0375  3 Ag 2.86-3.09
Er 0.6441 0.3559 0.4625  3 Ag 2.86-3.09
Ag 0.2071 0.7929 0.2500  6 Er 2.86-3.09, 1 Sm 3.06
Ag 0.7929 0.2071 0.7500  6 Er 2.86-3.09, 1 Sm 3.06

The space group is Cmcm. As for the calculated formation energy: -1.78 kcal/mol of atoms. The final energy is -0.1562 hartree per atom. As for the volume: 115.4 Å³/f.u. The total magnetic moment is 0.00 μB per formula unit.


A relaxed structure of Pm6Al2Tl. Source: Alexandria, functional PBE-GGA.

a = 8.9471 Å, b = 8.9471 Å, c = 8.9471 Å
α = 111.94°, β = 111.32°, γ = 105.24°
With the nearest neighbours (Å) after each atom.
Atoms (fractional coordinates):
Pm 0.0331 0.8217 0.2114  3 Al 3.05-3.19
Pm 0.2437 0.5400 0.2963  2 Al 3.09-3.31, 2 Tl 3.34-3.45
Pm 0.2437 0.9474 0.7037  2 Al 3.09-3.31, 2 Tl 3.34-3.45
Pm 0.2760 0.3158 0.5918  3 Al 3.20-3.31, 1 Tl 3.34
Pm 0.2760 0.6842 0.9603  3 Al 3.20-3.31, 1 Tl 3.34
Pm 0.3897 0.1783 0.2114  3 Al 3.05-3.19
Pm 0.6103 0.8217 0.7886  3 Al 3.05-3.19
Pm 0.7240 0.3158 0.0397  3 Al 3.20-3.31, 1 Tl 3.34
Pm 0.7240 0.6842 0.4082  3 Al 3.20-3.31, 1 Tl 3.34
Pm 0.7563 0.0526 0.2963  2 Al 3.09-3.31, 2 Tl 3.34-3.45
Pm 0.7563 0.4600 0.7037  2 Al 3.09-3.31, 2 Tl 3.34-3.45
Pm 0.9669 0.1783 0.7886  3 Al 3.05-3.19
Al 0.0000 0.1374 0.1374  1 Al 2.75
Al 0.0000 0.8626 0.8626  1 Al 2.75
Al 0.3791 0.3791 0.0000  1 Al 2.63
Al 0.6209 0.6209 0.0000  1 Al 2.63
Tl 0.0000 0.5000 0.5000  8 Pm 3.34, 2 Al 3.63
Tl 0.5000 0.0000 0.5000  8 Pm 3.45-3.50

The space group is Immm. As for the calculated formation energy: -5.66 kcal/mol of atoms. The final energy is -0.1656 hartree per atom. As for the volume: 274.5 Å³/f.u. The total magnetic moment is 0.00 μB per formula unit.


Relative energy among the computed polymorphs per entry: 0.059; 0.000 eV per atom